# PBE HfThBi, optimized geometry
data_HfThBi
_chemical_formula_sum 'Hf1 Th1 Bi1'
_space_group_name_H-M_alt 'P -6 m 2'
_space_group_IT_number 187
_space_group_name_Hall 'P -6 2'
_cell_length_a 5.2600
_cell_length_b 5.2600
_cell_length_c 3.5315
_cell_angle_alpha 90.00
_cell_angle_beta 90.00
_cell_angle_gamma 120.00
loop_
_atom_site_label
_atom_site_type_symbol
_atom_site_fract_x
_atom_site_fract_y
_atom_site_fract_z
Hf1 Hf 0.0000 0.0000 0.0000
Th1 Th 0.3333 0.6667 0.5000
Bi1 Bi 0.6667 0.3333 0.0000
# Polymorph energy (0 for the lowest one), meV/atom: 332
# Volume, Å³/cell: 85
# E, eV/cell: -21.113